This record from the Alexandria database describes a relaxed Ce2NdDy3Tm6 crystal. The functional is GGA-PBE.

a = 6.1000 Å, b = 6.1000 Å, c = 11.6207 Å
α = 95.02°, β = 95.02°, γ = 119.99°
With the nearest neighbours (Å) after each atom.
Positions (direct):
Ce (0.1667, 0.8333, 0.0000)  6 Tm 3.51, 3 Nd 3.52, 3 Ce 3.52
Ce (0.8333, 0.1667, 0.0000)  6 Tm 3.51, 3 Nd 3.52, 3 Ce 3.52
Nd (0.5000, 0.5000, 0.0000)  6 Tm 3.52, 6 Ce 3.52
Dy (0.0000, 0.0000, 0.5000)  6 Tm 3.50-3.51, 6 Dy 3.52-3.53
Dy (0.3338, 0.6662, 0.5000)  6 Tm 3.50-3.51, 6 Dy 3.51-3.53
Dy (0.6662, 0.3338, 0.5000)  6 Tm 3.50-3.51, 6 Dy 3.51-3.53
Tm (0.0804, 0.4162, 0.7497)  3 Dy 3.50-3.51, 2 Ce 3.51, 6 Tm 3.51-3.55, 1 Nd 3.52
Tm (0.2478, 0.2478, 0.2502)  3 Dy 3.50-3.51, 2 Ce 3.51, 6 Tm 3.51-3.55, 1 Nd 3.52
Tm (0.4162, 0.0804, 0.7497)  3 Dy 3.50-3.51, 2 Ce 3.51, 6 Tm 3.51-3.55, 1 Nd 3.52
Tm (0.5838, 0.9196, 0.2503)  3 Dy 3.50-3.51, 2 Ce 3.51, 6 Tm 3.51-3.55, 1 Nd 3.52
Tm (0.7522, 0.7522, 0.7498)  3 Dy 3.50-3.51, 2 Ce 3.51, 6 Tm 3.51-3.55, 1 Nd 3.52
Tm (0.9196, 0.5838, 0.2503)  3 Dy 3.50-3.51, 2 Ce 3.51, 6 Tm 3.51-3.55, 1 Nd 3.52

Calculated values
Space group: No. 12
Formation energy (kJ/mol of atoms): 4.8
Volume (A^3/atom): 30.73